[1]
Computed, not measured: Ag3HPd6 after structural relaxation at the PBE-GGA level of DFT.

Computed properties:
**Size of the total moment**: 0.000 Bohr magnetons per cell
**E**: -86.83 eV for the cell shown
**DOS(E_F)**: 16.67 states/eV/cell

Unit cell a=6.810 b=6.810 c=6.810 alpha=77.46 beta=77.46 gamma=77.46
Fractional positions:
Ag1 0.139 0.475 0.139
Ag2 0.139 0.139 0.475
Ag3 0.525 0.861 0.861
Ag4 0.475 0.139 0.139
Ag5 0.861 0.861 0.525
Ag6 0.861 0.525 0.861
H1 0.000 0.000 0.000
H2 0.500 0.500 0.500
Pd1 0.139 0.805 0.805
Pd2 0.195 0.861 0.195
Pd3 0.195 0.529 0.529
Pd4 0.195 0.195 0.861
Pd5 0.529 0.529 0.195
Pd6 0.471 0.805 0.471
Pd7 0.529 0.195 0.529
Pd8 0.471 0.471 0.805
Pd9 0.805 0.805 0.139
Pd10 0.805 0.471 0.471
Pd11 0.805 0.139 0.805
Pd12 0.861 0.195 0.195

***

[2]
Computed, not measured: ZrB2OF after structural relaxation at the PBE-GGA level of DFT.

Computed properties:
**Size of the total moment**: 0.000 Bohr magnetons per cell
**E**: -25.05 eV for the cell shown
**DOS(E_F)**: 3.22 states/eV/cell
**Formation energy (no corrections)**: 0.74 eV per atom

Unit cell a=3.534 b=4.733 c=3.534 alpha=90.00 beta=90.00 gamma=90.00
Fractional positions:
B1 0.000 0.000 0.500
B2 0.500 0.000 0.000
O1 0.500 0.500 0.500
Zr1 0.000 0.500 0.000
F1 0.000 0.000 0.000

***

[3]
Computed, not measured: NaTbCl4 after structural relaxation at the PBE-GGA level of DFT.

Computed properties:
**Size of the total moment**: 0.000 Bohr magnetons per cell
**E**: -52.14 eV for the cell shown
**Energy above the lowest structure with this stoichiometry**: 0.000 eV per atom
**DOS(E_F)**: 0.00 states/eV/cell
**Formation energy (no corrections)**: -2.12 eV per atom

Unit cell a=6.788 b=6.837 c=7.076 alpha=88.60 beta=93.52 gamma=102.63
Fractional positions:
Na1 0.225 0.809 0.470
Na2 0.775 0.191 0.530
Tb1 0.788 0.698 0.947
Tb2 0.212 0.302 0.053
Cl1 0.601 0.800 0.641
Cl2 0.399 0.200 0.359
Cl3 0.090 0.000 0.794
Cl4 0.910 0.000 0.206
Cl5 0.036 0.499 0.759
Cl6 0.964 0.501 0.241
Cl7 0.556 0.319 0.875
Cl8 0.444 0.681 0.125